Record 1
The following is a GGA-PBE calculation of crystalline HfTi2Mo at its relaxed geometry, from Alexandria.

Cell: 6.545 6.545 6.545 Å, 90.00 90.00 90.00°
Space group Fm-3m (No. 225)
One atom of each set of equivalent atoms:
Hf 0.000 0.000 0.000 (multiplicity 4)
Ti 0.250 0.250 0.250 (multiplicity 8)
Mo 0.000 0.000 0.500 (multiplicity 4)

Values from the calculation:
As for the formation energy from the elements: 0.072 eV/atom.

***

Record 2
The following is a GGA-PBE calculation of crystalline HfTi2Mo at its relaxed geometry, from Alexandria.

Cell: 3.0874 3.0874 26.5158 Å, 90.00 90.00 120.00°
Space group R-3m (No. 166, hexagonal axes)
One atom of each set of equivalent atoms:
Hf 0.0000 0.0000 0.0000 (multiplicity 3)
Ti 0.0000 0.0000 0.2399 (multiplicity 6)
Mo 0.0000 0.0000 0.5000 (multiplicity 3)

Values from the calculation:
As for the formation energy from the elements: 0.120 eV/atom.

***

Record 3
The following is a GGA-PBE calculation of crystalline HfTiMo at its relaxed geometry, from Alexandria.

Cell: 4.5671 4.5671 2.9818 Å, 90.00 90.00 120.00°
Space group P3m1 (No. 156)
One atom of each set of equivalent atoms:
Hf 0.0000 0.0000 0.0000 (multiplicity 1)
Ti 0.6667 0.3333 0.4356 (multiplicity 1)
Mo 0.3333 0.6667 0.6777 (multiplicity 1)

Values from the calculation:
As for the formation energy from the elements: -0.033 eV/atom.

***

Number 1: E above lowest polymorph 143 meV per atom. Number 2: E above lowest polymorph 191 meV per atom. Number 3: E above lowest polymorph 33 meV per atom.